First-principles (PBE) data for a geometry-optimized Tl2MoOs structure, as listed in Alexandria via LeMat-Bulk.

```
4
Lattice="0.0000 3.3515 3.3515 3.3515 0.0000 3.3515 3.3515 3.3515 0.0000" Properties=species:S:1:pos:R:3 pbc="T T T"
Tl 1.6758 1.6758 1.6758
Tl 5.0273 5.0273 5.0273
Mo 0.0000 0.0000 0.0000
Os 3.3515 3.3515 3.3515
```

Output
The value obtained for the calculated density is 15.326 Mg/m³. The offset from the most stable computed form comes out at 667 meV per atom. The energy of formation comes out at 104.7 kJ/mol of atoms.

First-principles (PBE) data for a geometry-optimized GaSeO3 structure, as listed in Alexandria via LeMat-Bulk.

```
5
Lattice="3.7977 0.0000 0.0000 0.0000 3.7977 0.0000 0.0000 0.0000 3.7977" Properties=species:S:1:pos:R:3 pbc="T T T"
Ga 0.0000 0.0000 0.0000
Se 1.8988 1.8988 1.8988
O 0.0000 0.0000 1.8988
O 0.0000 1.8988 0.0000
O 1.8988 0.0000 0.0000
```

Output
As for the final energy: -4.625 eV per atom. The value obtained for the calculated density is 5.963 Mg/m³.

First-principles (PBE) data for a geometry-optimized La2ZnTe structure, as listed in Alexandria via LeMat-Bulk.

```
4
Lattice="3.8747 0.0000 0.0000 0.0000 5.3832 0.0000 0.0000 0.0000 5.5148" Properties=species:S:1:pos:R:3 pbc="T T T"
La 0.0000 0.0000 0.0000
La 0.0000 2.6916 2.7574
Zn 1.9374 0.0000 2.7574
Te 1.9374 2.6916 0.0000
```

Output
The value obtained for the calculated density is 6.797 Mg/m³. The offset from the most stable computed form comes out at 87 meV per atom.

First-principles (PBE) data for a geometry-optimized TlSnPb2Br structure, as listed in Alexandria via LeMat-Bulk.

```
5
Lattice="5.7618 0.0000 0.0000 0.0000 3.5427 0.0000 -0.5262 0.0000 8.5960" Properties=species:S:1:pos:R:3 pbc="T T T"
Tl 0.0000 0.0000 0.0000
Sn 0.0473 1.7713 3.1926
Pb 2.8801 1.7713 0.2794
Pb 2.9204 0.0000 3.0851
Br 0.3117 1.7713 5.9008
```

Output
The value obtained for the calculated density is 7.736 Mg/m³. The offset from the most stable computed form comes out at 104 meV per atom.

First-principles (PBE) data for a geometry-optimized CeHoInPd structure, as listed in Alexandria via LeMat-Bulk.

```
4
Lattice="0.0000 3.6909 3.6909 3.6909 0.0000 3.6909 3.6909 3.6909 0.0000" Properties=species:S:1:pos:R:3 pbc="T T T"
Ce 0.0000 0.0000 0.0000
Ho 3.6909 3.6909 3.6909
In 1.8454 1.8454 1.8454
Pd 5.5363 5.5363 5.5363
```

Output
The value obtained for the calculated density is 8.691 Mg/m³. The energy of formation comes out at -46.1 kJ/mol of atoms.

First-principles (PBE) data for a geometry-optimized NaBe3Cd structure, as listed in Alexandria via LeMat-Bulk.

```
5
Lattice="4.4956 0.0000 0.0000 0.0000 4.4956 0.0000 0.0000 0.0000 4.4956" Properties=species:S:1:pos:R:3 pbc="T T T"
Na 0.0000 0.0000 0.0000
Be 0.0000 0.0000 2.2478
Be 0.0000 2.2478 0.0000
Be 2.2478 0.0000 0.0000
Cd 2.2478 2.2478 2.2478
```

Output
The value obtained for the calculated density is 2.969 Mg/m³. The offset from the most stable computed form comes out at 785 meV per atom. The energy of formation comes out at 161.9 kJ/mol of atoms.

First-principles (PBE) data for a geometry-optimized LiLaGeRh structure, as listed in Alexandria via LeMat-Bulk.

```
4
Lattice="0.0000 3.3474 3.3474 3.3474 0.0000 3.3474 3.3474 3.3474 0.0000" Properties=species:S:1:pos:R:3 pbc="T T T"
Li 0.0000 0.0000 0.0000
La 1.6737 1.6737 1.6737
Ge 5.0210 5.0210 5.0210
Rh 3.3474 3.3474 3.3474
```

Output
The value obtained for the calculated density is 7.115 Mg/m³. The energy of formation comes out at -52.4 kJ/mol of atoms.

First-principles (PBE) data for a geometry-optimized CaPrPtRh structure, as listed in Alexandria via LeMat-Bulk.

```
4
Lattice="4.2669 0.0000 0.0000 0.0000 2.0012 5.4916 0.0000 -2.0012 5.4916" Properties=species:S:1:pos:R:3 pbc="T T T"
Ca 0.0000 0.0000 0.0000
Pr 2.1334 0.0000 7.8659
Pt 2.1334 0.0000 4.8218
Rh 0.0000 0.0000 3.0635
```

Output
The value obtained for the calculated density is 8.481 Mg/m³. The offset from the most stable computed form comes out at 0 meV per atom. The energy of formation comes out at -74.3 kJ/mol of atoms.

First-principles (PBE) data for a geometry-optimized SrY2Ta structure, as listed in Alexandria via LeMat-Bulk.

```
4
Lattice="3.5050 -4.8719 0.0000 3.5050 4.8719 0.0000 0.0000 0.0000 3.3798" Properties=species:S:1:pos:R:3 pbc="T T T"
Sr 0.0000 0.0000 0.0000
Y 1.7525 2.4360 1.6899
Y 1.7525 -2.4360 1.6899
Ta 3.5050 0.0000 0.0000
```

Output
The value obtained for the calculated density is 6.422 Mg/m³. The offset from the most stable computed form comes out at 300 meV per atom. The energy of formation comes out at 63.5 kJ/mol of atoms.

First-principles (PBE) data for a geometry-optimized Tb5Y2Er structure, as listed in Alexandria via LeMat-Bulk.

```
16
Lattice="7.1185 0.0000 0.0000 0.0000 14.2373 0.0000 0.0000 0.0000 5.0217" Properties=species:S:1:pos:R:3 pbc="T T T"
Tb 0.0000 0.0000 0.0000
Tb 0.0002 3.5633 0.0000
Tb 7.1183 10.6740 0.0000
Tb 1.7820 1.7769 2.5108
Tb 1.7773 8.8956 2.5108
Tb 3.5595 3.5553 0.0000
Tb 3.5593 7.1187 0.0000
Tb 3.5591 10.6820 0.0000
Tb 5.3413 5.3418 2.5108
Tb 5.3365 12.4604 2.5108
Y 1.7789 5.3442 2.5108
Y 1.7804 12.4629 2.5108
Y 5.3381 1.7744 2.5108
Y 5.3397 8.8931 2.5108
Er 0.0000 7.1187 0.0000
Er 3.5593 0.0000 0.0000
```

Output
The value obtained for the calculated density is 7.437 Mg/m³. The offset from the most stable computed form comes out at 0 meV per atom. The energy of formation comes out at 1.6 kJ/mol of atoms.

First-principles (PBE) data for a geometry-optimized Mn2TcNi2 structure, as listed in Alexandria via LeMat-Bulk.

```
5
Lattice="-1.6305 1.6305 5.7168 1.6305 -1.6305 5.7168 1.6305 1.6305 -5.7168" Properties=species:S:1:pos:R:3 pbc="T T T"
Mn 1.6305 0.0000 2.8584
Mn 0.0000 1.6305 2.8584
Tc 0.0000 0.0000 0.0000
Ni 0.0000 0.0000 4.5831
Ni 0.0000 0.0000 6.8505
```

Output
The value obtained for the calculated density is 8.884 Mg/m³. The offset from the most stable computed form comes out at 292 meV per atom. The energy of formation comes out at 43.5 kJ/mol of atoms.

First-principles (PBE) data for a geometry-optimized TbInPt structure, as listed in Alexandria via LeMat-Bulk.

```
6
Lattice="4.2025 0.0000 0.0000 0.0000 4.2025 0.0000 0.0000 0.0000 7.7399" Properties=species:S:1:pos:R:3 pbc="T T T"
Tb 1.0506 1.0506 1.1169
Tb 3.1519 3.1519 6.6230
In 1.0506 3.1519 3.8700
In 3.1519 1.0506 3.8700
Pt 1.0506 1.0506 5.9748
Pt 3.1519 3.1519 1.7651
```

Output
The value obtained for the calculated density is 11.391 Mg/m³. The energy of formation comes out at -84.8 kJ/mol of atoms.